DFT (GGA-PBE) results for AcNdFe after structural relaxation.

Summary:
Energy of formation = 0.317 eV per atom
Energy relative to the lowest polymorph listed for this composition = 0 meV/atom

a b c (Å): 7.0162 7.0162 7.0162
angles (deg): 90.00 90.00 90.00
Last column: nearest neighbours and their distance in Å.
Atoms (fractional coordinates):
1 Ac 0.0000 0.0000 0.0000  4 Fe 3.04
2 Ac 0.0000 0.5000 0.5000  4 Fe 3.04
3 Ac 0.5000 0.0000 0.5000  4 Fe 3.04
4 Ac 0.5000 0.5000 0.0000  4 Fe 3.04
5 Nd 0.0000 0.0000 0.5000  4 Fe 3.04
6 Nd 0.0000 0.5000 0.0000  4 Fe 3.04
7 Nd 0.5000 0.0000 0.0000  4 Fe 3.04
8 Nd 0.5000 0.5000 0.5000  4 Fe 3.04
9 Fe 0.2500 0.2500 0.7500  4 Ac 3.04, 4 Nd 3.04
10 Fe 0.2500 0.7500 0.2500  4 Ac 3.04, 4 Nd 3.04
11 Fe 0.7500 0.2500 0.2500  4 Ac 3.04, 4 Nd 3.04
12 Fe 0.7500 0.7500 0.7500  4 Ac 3.04, 4 Nd 3.04